CdHg2Cl: relaxed, PBE.

Properties
The value obtained for the energy above the most stable polymorph in this dataset is 71 meV/atom. For the uncorrected formation energy, the calculation gives -88 kJ/mol of formula units. As for the space group: P4mm. The calculation puts the final energy at -1.07 eV/atom.

Lattice parameters (Å, degrees): 3.5156 3.5160 8.5141 90.00 90.00 90.00
Last column: nearest neighbours and their distance in Å.
Fractional coordinates of all 4 atoms:
Hg 0.5000 0.5000 0.2811  4 Cd 3.15, 8 Hg 3.33-3.52, 1 Cl 3.48
Cd 0.0000 0.0000 0.5089  4 Cl 2.93, 4 Hg 3.15
Cl 0.5000 0.5000 0.6901  4 Cd 2.93
Hg 0.0000 0.0000 0.0200  8 Hg 3.33-3.52

CdHg2Cl: relaxed, PBE.

Properties
The value obtained for the energy above the most stable polymorph in this dataset is 134 meV/atom. For the uncorrected formation energy, the calculation gives -64 kJ/mol of formula units. As for the space group: P4/mmm. The calculation puts the final energy at -1.01 eV/atom.

Lattice parameters (Å, degrees): 3.5609 3.5609 7.8008 90.00 90.00 90.00
Last column: nearest neighbours and their distance in Å.
Fractional coordinates of all 4 atoms:
Cd 0.5000 0.5000 0.2500  8 Hg 3.16
Cl 0.5000 0.5000 0.7500  8 Hg 3.21, 4 Cl 3.56
Hg 0.0000 0.0000 0.0056  4 Cd 3.16, 4 Cl 3.21
Hg 0.0000 0.0000 0.4944  4 Cd 3.16, 4 Cl 3.21

CdHg2Cl: relaxed, PBE.

Properties
The value obtained for the energy above the most stable polymorph in this dataset is 84 meV/atom. For the uncorrected formation energy, the calculation gives -83 kJ/mol of formula units. As for the space group: Immm. The calculation puts the final energy at -1.06 eV/atom.

Lattice parameters (Å, degrees): 6.9457 6.9457 4.8336 69.58 69.58 28.97
Last column: nearest neighbours and their distance in Å.
Fractional coordinates of all 4 atoms:
Hg 0.0454 0.0454 0.9542  2 Cd 3.10, 4 Hg 3.19
Cl 0.2500 0.2500 0.2500  4 Cd 2.98
Cd 0.7500 0.7500 0.7500  4 Cl 2.98, 4 Hg 3.10
Hg 0.4546 0.4546 0.5458  2 Cd 3.10, 4 Hg 3.19

CdHg2Cl: relaxed, PBE.

Properties
The value obtained for the energy above the most stable polymorph in this dataset is 188 meV/atom. For the uncorrected formation energy, the calculation gives -43 kJ/mol of formula units. As for the space group: I-4m2. The calculation puts the final energy at -0.95 eV/atom.

Lattice parameters (Å, degrees): 5.5249 5.5249 5.5249 127.52 127.52 77.41
Last column: nearest neighbours and their distance in Å.
Fractional coordinates of all 4 atoms:
Cl 0.7500 0.2500 0.5000  4 Cd 3.26, 8 Hg 3.26-3.45
Hg 0.2500 0.7500 0.5000  4 Hg 3.26, 4 Cd 3.26, 4 Cl 3.45
Cd 0.5000 0.5000 0.0000  4 Cl 3.26, 8 Hg 3.26-3.45
Hg 0.0000 0.0000 0.0000  4 Hg 3.26, 4 Cl 3.26, 4 Cd 3.45

Cd2HgCl2: relaxed, PBE.

Properties
The value obtained for the energy above the most stable polymorph in this dataset is 349 meV/atom. For the uncorrected formation energy, the calculation gives -98 kJ/mol of formula units. As for the space group: P4/mbm. The calculation puts the final energy at -1.37 eV/atom.

Lattice parameters (Å, degrees): 8.5029 8.5029 3.5563 90.00 90.00 90.00
Last column: nearest neighbours and their distance in Å.
Fractional coordinates of all 10 atoms:
Cd 0.8376 0.3376 0.5000  6 Cl 3.00-3.11
Hg 0.5000 0.5000 0.0000  4 Cl 3.30, 2 Hg 3.56, 8 Cd 3.65
Cl 0.1366 0.3634 0.0000  6 Cd 3.00-3.11, 1 Cl 3.29, 2 Hg 3.30
Cd 0.3376 0.1624 0.5000  6 Cl 3.00-3.11
Cl 0.3634 0.8634 0.0000  6 Cd 3.00-3.11, 1 Cl 3.29, 2 Hg 3.30
Cl 0.8634 0.6366 0.0000  6 Cd 3.00-3.11, 1 Cl 3.29, 2 Hg 3.30
Hg 0.0000 0.0000 0.0000  4 Cl 3.30, 2 Hg 3.56, 8 Cd 3.65
Cd 0.6624 0.8376 0.5000  6 Cl 3.00-3.11
Cl 0.6366 0.1366 0.0000  6 Cd 3.00-3.11, 1 Cl 3.29, 2 Hg 3.30
Cd 0.1624 0.6624 0.5000  6 Cl 3.00-3.11

Cd2HgCl: relaxed, PBE.

Properties
The value obtained for the energy above the most stable polymorph in this dataset is 70 meV/atom. For the uncorrected formation energy, the calculation gives -83 kJ/mol of formula units. As for the space group: C2/m. The calculation puts the final energy at -1.21 eV/atom.

Lattice parameters (Å, degrees): 6.0785 5.3109 4.1724 76.67 73.53 117.45
Last column: nearest neighbours and their distance in Å.
Fractional coordinates of all 4 atoms:
Cl 0.0000 0.5000 0.5000  4 Cd 2.97, 2 Hg 3.16
Hg 0.5000 0.5000 0.0000  4 Cd 2.97, 2 Cl 3.16
Cd 0.5000 0.0000 0.5000  2 Cl 2.97, 2 Hg 2.97, 2 Cd 3.16
Cd 0.0000 0.0000 0.0000  2 Hg 2.97, 2 Cl 2.97, 2 Cd 3.16

Cd2HgCl: relaxed, PBE.

Properties
The value obtained for the energy above the most stable polymorph in this dataset is 0 meV/atom. For the uncorrected formation energy, the calculation gives -110 kJ/mol of formula units. As for the space group: R-3m. The calculation puts the final energy at -1.28 eV/atom.

Lattice parameters (Å, degrees): 8.3327 8.3327 8.3327 26.32 26.32 26.32
Last column: nearest neighbours and their distance in Å.
Fractional coordinates of all 4 atoms:
Hg 0.7500 0.7500 0.7500  6 Cd 2.96
Cl 0.2500 0.2500 0.2500  6 Cd 2.99
Cd 0.0010 0.0010 0.0010  3 Hg 2.96, 3 Cl 2.99
Cd 0.4990 0.4990 0.4990  3 Hg 2.96, 3 Cl 2.99

CdHg3Cl8: relaxed, PBE.

Properties
For the uncorrected formation energy, the calculation gives -799 kJ/mol of formula units. As for the space group: C2/m. The calculation puts the final energy at -2.07 eV/atom.

Lattice parameters (Å, degrees): 7.8114 8.0213 7.6686 119.15 90.00 119.14
Last column: nearest neighbours and their distance in Å.
Fractional coordinates of all 12 atoms:
Cl 0.2325 0.4650 0.2268  1 Cd 2.71, 2 Hg 2.72
Cl 0.7570 0.0145 0.7705  2 Hg 2.67-2.83, 1 Cd 2.67
Cl 0.7675 0.5350 0.7732  1 Cd 2.71, 2 Hg 2.72
Hg 0.0000 0.5000 0.0000  6 Cl 2.66-2.83
Cl 0.2575 0.0145 0.7705  2 Hg 2.67-2.83, 1 Cd 2.67
Cl 0.7451 0.4902 0.2296  3 Hg 2.66-2.86
Cl 0.7425 0.9855 0.2295  2 Hg 2.67-2.83, 1 Cd 2.67
Hg 0.5000 0.0000 0.0000  6 Cl 2.67-2.86
Hg 0.5000 0.5000 0.0000  6 Cl 2.66-2.83
Cl 0.2430 0.9855 0.2295  2 Hg 2.67-2.83, 1 Cd 2.67
Cl 0.2549 0.5098 0.7704  3 Hg 2.66-2.86
Cd 0.0000 0.0000 0.0000  6 Cl 2.67-2.71

Cd2HgCl: relaxed, PBE.

Properties
The value obtained for the energy above the most stable polymorph in this dataset is 40 meV/atom. For the uncorrected formation energy, the calculation gives -94 kJ/mol of formula units. As for the space group: I-42d. The calculation puts the final energy at -1.24 eV/atom.

Lattice parameters (Å, degrees): 8.0128 8.0128 6.5277 52.14 52.14 90.00
Last column: nearest neighbours and their distance in Å.
Fractional coordinates of all 8 atoms:
Cl 0.5000 0.5000 0.0000  4 Cd 2.93, 2 Hg 3.24
Cd 0.8750 0.8719 0.7500  2 Cl 2.93, 2 Hg 2.96, 2 Cd 3.24
Cd 0.3750 0.3781 0.7500  2 Cl 2.93, 2 Hg 2.96, 2 Cd 3.24
Hg 0.0000 0.0000 0.0000  4 Cd 2.96, 2 Cl 3.24
Cd 0.1281 0.6250 0.2500  2 Cl 2.93, 2 Hg 2.96, 2 Cd 3.24
Cl 0.2500 0.7500 0.5000  4 Cd 2.93, 2 Hg 3.24
Cd 0.6219 0.1250 0.2500  2 Cl 2.93, 2 Hg 2.96, 2 Cd 3.24
Hg 0.7500 0.2500 0.5000  4 Cd 2.96, 2 Cl 3.24

CdHg2Cl: relaxed, PBE.

Properties
The value obtained for the energy above the most stable polymorph in this dataset is 0 meV/atom. For the uncorrected formation energy, the calculation gives -116 kJ/mol of formula units. As for the space group: R3m. The calculation puts the final energy at -1.14 eV/atom.

Lattice parameters (Å, degrees): 8.5923 8.5923 8.5923 26.78 26.78 26.78
Last column: nearest neighbours and their distance in Å.
Fractional coordinates of all 4 atoms:
Hg 0.9928 0.9928 0.9928  3 Hg 3.15
Cl 0.7692 0.7692 0.7692  3 Cd 2.78
Cd 0.4986 0.4986 0.4986  3 Cl 2.78, 3 Hg 2.95
Hg 0.2394 0.2394 0.2394  3 Cd 2.95, 3 Hg 3.15

CdHgCl: relaxed, PBE.

Properties
The value obtained for the energy above the most stable polymorph in this dataset is 124 meV/atom. For the uncorrected formation energy, the calculation gives -84 kJ/mol of formula units. As for the space group: I4mm. The calculation puts the final energy at -1.31 eV/atom.

Lattice parameters (Å, degrees): 6.5557 6.5557 6.5557 148.76 148.76 44.77
Last column: nearest neighbours and their distance in Å.
Fractional coordinates of all 3 atoms:
Hg 0.6452 0.6452 0.0000  4 Cd 3.10, 1 Cl 3.44
Cd 0.9933 0.9933 0.0000  4 Cl 2.96, 4 Hg 3.10
Cl 0.3615 0.3615 0.0000  4 Cd 2.96

CdHgCl2: relaxed, PBE.

Properties
The value obtained for the energy above the most stable polymorph in this dataset is 490 meV/atom. For the uncorrected formation energy, the calculation gives -117 kJ/mol of formula units. As for the space group: I-4m2. The calculation puts the final energy at -1.53 eV/atom.

Lattice parameters (Å, degrees): 7.2565 7.2565 7.2565 147.53 147.53 46.58
Last column: nearest neighbours and their distance in Å.
Fractional coordinates of all 4 atoms:
Cl 0.2500 0.7500 0.5000  4 Cd 2.87
Hg 0.5000 0.5000 0.0000  4 Cl 2.87
Cd 0.7500 0.2500 0.5000  4 Cl 2.87
Cl 0.0000 0.0000 0.0000  4 Hg 2.87

Cd2HgCl: relaxed, PBE.

Properties
The value obtained for the energy above the most stable polymorph in this dataset is 108 meV/atom. For the uncorrected formation energy, the calculation gives -68 kJ/mol of formula units. As for the space group: I-4m2. The calculation puts the final energy at -1.17 eV/atom.

Lattice parameters (Å, degrees): 6.4949 6.4949 6.4949 142.06 142.06 54.74
Last column: nearest neighbours and their distance in Å.
Fractional coordinates of all 4 atoms:
Cl 0.5000 0.5000 0.0000  4 Cd 2.99
Cd 0.2500 0.7500 0.5000  4 Hg 2.99
Cd 0.0000 0.0000 0.0000  4 Cl 2.99
Hg 0.7500 0.2500 0.5000  4 Cd 2.99

Cd2HgCl2: relaxed, PBE.

Properties
The value obtained for the energy above the most stable polymorph in this dataset is 0 meV/atom. For the uncorrected formation energy, the calculation gives -266 kJ/mol of formula units. As for the space group: P4/mbm. The calculation puts the final energy at -1.72 eV/atom.

Lattice parameters (Å, degrees): 8.9632 8.9632 3.9095 90.00 90.00 90.00
Last column: nearest neighbours and their distance in Å.
Fractional coordinates of all 10 atoms:
Cd 0.3946 0.8946 0.0000  2 Cl 2.60, 1 Cd 2.67
Cd 0.8946 0.6054 0.0000  2 Cl 2.60, 1 Cd 2.67
Cl 0.7596 0.7404 0.5000  2 Cd 2.60
Cd 0.6054 0.1054 0.0000  2 Cl 2.60, 1 Cd 2.67
Cl 0.2404 0.2596 0.5000  2 Cd 2.60
Cd 0.1054 0.3946 0.0000  2 Cl 2.60, 1 Cd 2.67
Cl 0.2596 0.7596 0.5000  2 Cd 2.60
Hg 0.5000 0.5000 0.0000  4 Cd 3.66, 8 Cl 3.73, 2 Hg 3.91
Hg 0.0000 0.0000 0.0000  4 Cd 3.66, 8 Cl 3.73, 2 Hg 3.91
Cl 0.7404 0.2404 0.5000  2 Cd 2.60

CdHgCl2: relaxed, PBE.

Properties
The value obtained for the energy above the most stable polymorph in this dataset is 0 meV/atom. For the uncorrected formation energy, the calculation gives -306 kJ/mol of formula units. As for the space group: R-3m. The calculation puts the final energy at -2.02 eV/atom.

Lattice parameters (Å, degrees): 11.1118 11.1118 11.1118 20.08 20.08 20.08
Last column: nearest neighbours and their distance in Å.
Fractional coordinates of all 4 atoms:
Cl 0.8779 0.8779 0.8779  3 Cd 2.67
Hg 0.0000 0.0000 0.0000  6 Hg 3.88, 2 Cl 3.99
Cl 0.1221 0.1221 0.1221  3 Cd 2.67
Cd 0.5000 0.5000 0.5000  6 Cl 2.67

Cd2HgCl: relaxed, PBE.

Properties
The value obtained for the energy above the most stable polymorph in this dataset is 67 meV/atom. For the uncorrected formation energy, the calculation gives -84 kJ/mol of formula units. As for the space group: Cmmm. The calculation puts the final energy at -1.21 eV/atom.

Lattice parameters (Å, degrees): 3.6123 3.6123 8.3760 90.00 90.00 112.04
Last column: nearest neighbours and their distance in Å.
Fractional coordinates of all 4 atoms:
Cd 0.0000 0.0000 0.4980  2 Cl 2.90, 2 Hg 2.92
Hg 0.5000 0.5000 0.7500  4 Cd 2.92
Cl 0.5000 0.5000 0.2500  4 Cd 2.90
Cd 0.0000 0.0000 0.0020  2 Cl 2.90, 2 Hg 2.92

CdHg2Cl: relaxed, PBE.

Properties
The value obtained for the energy above the most stable polymorph in this dataset is 193 meV/atom. For the uncorrected formation energy, the calculation gives -41 kJ/mol of formula units. As for the space group: P4/mmm. The calculation puts the final energy at -0.95 eV/atom.

Lattice parameters (Å, degrees): 5.2116 5.2116 3.7344 90.00 90.00 90.00
Last column: nearest neighbours and their distance in Å.
Fractional coordinates of all 4 atoms:
Hg 0.5000 0.5000 0.0000  4 Cd 3.21, 4 Cl 3.21
Hg 0.0000 0.0000 0.0000  4 Cd 3.21, 4 Cl 3.21
Cl 0.0000 0.5000 0.5000  8 Hg 3.21
Cd 0.5000 0.0000 0.5000  8 Hg 3.21

CdHgCl: relaxed, PBE.

Properties
The value obtained for the energy above the most stable polymorph in this dataset is 0 meV/atom. For the uncorrected formation energy, the calculation gives -120 kJ/mol of formula units. As for the space group: Amm2. The calculation puts the final energy at -1.44 eV/atom.

Lattice parameters (Å, degrees): 3.7010 3.6790 15.4409 90.00 90.00 120.20
Last column: nearest neighbours and their distance in Å.
Fractional coordinates of all 6 atoms:
Cd 0.3288 0.6575 0.5000  6 Hg 3.28-3.30
Hg 0.6658 0.3316 0.6621  3 Cd 3.28-3.30
Cl 0.2240 0.4479 0.1063  3 Cd 2.69
Cl 0.2240 0.4479 0.8937  3 Cd 2.69
Hg 0.6658 0.3316 0.3379  3 Cd 3.28-3.30
Cd 0.5583 0.1167 0.0000  6 Cl 2.69

Cd2HgCl: relaxed, PBE.

Properties
The value obtained for the energy above the most stable polymorph in this dataset is 0 meV/atom. For the uncorrected formation energy, the calculation gives -110 kJ/mol of formula units. As for the space group: R3m. The calculation puts the final energy at -1.28 eV/atom.

Lattice parameters (Å, degrees): 3.9258 3.9258 8.4511 76.60 76.60 59.97
Last column: nearest neighbours and their distance in Å.
Fractional coordinates of all 4 atoms:
Cl 0.4853 0.4853 0.5436  3 Cd 2.80-2.81
Cd 0.0069 0.0069 0.9808  3 Cd 2.96, 3 Hg 3.03-3.04
Hg 0.2566 0.2566 0.2290  3 Cd 3.03-3.04
Cd 0.7513 0.7513 0.7467  3 Cl 2.80-2.81, 3 Cd 2.96

CdHgCl2: relaxed, PBE.

Properties
The value obtained for the energy above the most stable polymorph in this dataset is 239 meV/atom. For the uncorrected formation energy, the calculation gives -214 kJ/mol of formula units. As for the space group: P4/mmm. The calculation puts the final energy at -1.78 eV/atom.

Lattice parameters (Å, degrees): 3.3802 3.3802 9.7349 90.00 90.00 90.00
Last column: nearest neighbours and their distance in Å.
Fractional coordinates of all 4 atoms:
Cd 0.5000 0.5000 0.7500  8 Cl 2.86
Cl 0.0000 0.0000 0.5880  4 Cd 2.86, 1 Cl 3.15
Hg 0.5000 0.5000 0.2500  4 Hg 3.38
Cl 0.0000 0.0000 0.9120  4 Cd 2.86, 1 Cl 3.15